The following is a DFT calculation (meta-GGA SCAN) of a crystal of MgZn3 relaxed with PBEsol.

a b c (Å): 2.888 3.862 5.650
angles (deg): 90.00 90.00 90.00
Fractional coordinates of all 4 atoms:
1 Zn 0.000 0.000 0.735
2 Mg 0.500 0.500 0.000
3 Zn 0.000 0.000 0.265
4 Zn 0.500 0.500 0.500

Summary:
- E_form: -0.024 eV per atom
- SG: No. 47

The following is a DFT calculation (meta-GGA SCAN) of a crystal of Fe4TcOs relaxed with PBEsol.

a b c (Å): 4.588 4.588 4.588
angles (deg): 60.00 60.00 60.00
Fractional coordinates of all 6 atoms:
1 Fe 0.126 0.625 0.625
2 Fe 0.625 0.126 0.625
3 Tc 0.000 0.000 0.000
4 Fe 0.625 0.625 0.625
5 Fe 0.625 0.625 0.126
6 Os 0.250 0.250 0.250

Summary:
- E_form: 0.102 eV per atom
- SG: No. 216

The following is a DFT calculation (meta-GGA SCAN) of a crystal of MgTaBi2 relaxed with PBEsol.

a b c (Å): 6.615 6.615 7.912
angles (deg): 114.71 114.71 90.00
Fractional coordinates of all 8 atoms:
1 Mg 0.750 0.250 0.500
2 Bi 0.125 0.103 0.750
3 Bi 0.897 0.375 0.250
4 Ta 0.000 0.000 0.000
5 Bi 0.353 0.875 0.250
6 Mg 0.500 0.500 0.000
7 Bi 0.625 0.647 0.750
8 Ta 0.250 0.750 0.500

Summary:
- E_form: 0.665 eV per atom
- SG: No. 122

The following is a DFT calculation (meta-GGA SCAN) of a crystal of Co2NiMo relaxed with PBEsol.

a b c (Å): 3.592 3.592 4.306
angles (deg): 114.65 114.65 90.00
Fractional coordinates of all 4 atoms:
1 Co 0.250 0.750 0.500
2 Co 0.750 0.250 0.500
3 Mo 0.000 0.000 0.000
4 Ni 0.500 0.500 0.000

Summary:
- E_form: 0.140 eV per atom
- Polymorph energy (0 for the lowest one): 0.20 eV per formula unit
- SG: No. 139

The following is a DFT calculation (meta-GGA SCAN) of a crystal of MgSc2As relaxed with PBEsol.

a b c (Å): 6.102 6.210 6.210
angles (deg): 76.03 60.58 60.58
Fractional coordinates of all 8 atoms:
1 Sc 0.086 0.039 0.539
2 Mg 0.250 0.500 0.500
3 As 0.000 0.000 0.000
4 Sc 0.664 0.961 0.461
5 Sc 0.375 0.539 0.961
6 Mg 0.500 0.000 0.000
7 Sc 0.875 0.461 0.039
8 As 0.750 0.500 0.500

Summary:
- E_form: -0.345 eV per atom
- SG: No. 122

The following is a DFT calculation (meta-GGA SCAN) of a crystal of InNiSe2 relaxed with PBEsol.

a b c (Å): 3.384 3.632 6.697
angles (deg): 105.73 104.63 90.00
Fractional coordinates of all 4 atoms:
1 Ni 0.712 0.212 0.425
2 Se 0.068 0.068 0.136
3 In 0.449 0.449 0.898
4 Se 0.271 0.771 0.542

Summary:
- E_form (uncorrected): 0.09 kcal/mol of atoms
- SG: No. 44

Asked for electronic total energy across the records above, the calculation gives -45.616, -178.848, -452.111, -85.106, -110.035, -89.701 eV for the cell shown in order.
Asked for N(E_F) across the records above, the calculation gives 1.20, 3.94, 5.84, 3.85, 6.32, 2.73 states/eV per cell in order.